(1)
! CeRhAu | Alexandria | PBE-GGA | optimized geometry; values from VASP
&SYSTEM
  ibrav = 0, nat = 12, ntyp = 3
/
ATOMIC_SPECIES
Ce 140.12 Ce.upf
Rh 102.91 Rh.upf
Au 196.97 Au.upf
CELL_PARAMETERS angstrom
7.3807 0.0000 0.0000
0.0000 5.0571 0.0000
0.0000 0.0000 6.9757
ATOMIC_POSITIONS crystal
Ce 0.2319 0.2500 0.2273
Ce 0.2681 0.7500 0.7273
Ce 0.7319 0.2500 0.2727
Ce 0.7681 0.7500 0.7727
Rh 0.0679 0.7500 0.0023
Rh 0.4321 0.2500 0.5023
Rh 0.5679 0.7500 0.4977
Rh 0.9321 0.2500 0.9977
Au 0.0150 0.2500 0.6083
Au 0.4850 0.7500 0.1083
Au 0.5150 0.2500 0.8917
Au 0.9850 0.7500 0.3917
! energy relative to the lowest polymorph listed for this composition: 1.6 kJ per mole of atoms
! total magnetization: 0.7 μB/cell
! ΔH_f (0 K): -0.671 eV per atom
! crystal system: orthorhombic



(2)
! CaPr2Tl2 | Alexandria | PBE-GGA | optimized geometry; values from VASP
&SYSTEM
  ibrav = 0, nat = 10, ntyp = 3
/
ATOMIC_SPECIES
Ca 40.08 Ca.upf
Pr 140.91 Pr.upf
Tl 204.38 Tl.upf
CELL_PARAMETERS angstrom
8.6644 0.0000 0.0000
0.0000 8.6644 0.0000
0.0000 0.0000 4.3447
ATOMIC_POSITIONS crystal
Ca 0.0000 0.0000 0.0000
Ca 0.5000 0.5000 0.0000
Pr 0.1706 0.3294 0.5000
Pr 0.3294 0.8294 0.5000
Pr 0.6706 0.1706 0.5000
Pr 0.8294 0.6706 0.5000
Tl 0.1300 0.6300 0.0000
Tl 0.3700 0.1300 0.0000
Tl 0.6300 0.8700 0.0000
Tl 0.8700 0.3700 0.0000
! energy relative to the lowest polymorph listed for this composition: 0.0 kJ per mole of atoms
! total magnetization: 0.1 μB/cell
! ΔH_f (0 K): -0.340 eV per atom
! crystal system: tetragonal



(3)
! MnSi2Mo | Alexandria | PBE-GGA | optimized geometry; values from VASP
&SYSTEM
  ibrav = 0, nat = 8, ntyp = 3
/
ATOMIC_SPECIES
Mn 54.94 Mn.upf
Si 28.09 Si.upf
Mo 95.94 Mo.upf
CELL_PARAMETERS angstrom
-3.2581 3.2581 2.7644
3.2581 -3.2581 2.7644
3.2581 3.2581 -2.7644
ATOMIC_POSITIONS crystal
Mn 0.0000 0.0000 0.0000
Mn 0.7500 0.2500 0.5000
Si 0.1057 0.6250 0.9807
Si 0.3750 0.3557 0.4807
Si 0.6443 0.1250 0.0193
Si 0.8750 0.8943 0.5193
Mo 0.2500 0.7500 0.5000
Mo 0.5000 0.5000 0.0000
! total magnetization: 5.7 μB/cell
! formation energy (no corrections): 0.241 eV/atom
! crystal system: tetragonal



(4)
! Dy6Os2Pb | Alexandria | PBE-GGA | optimized geometry; values from VASP
&SYSTEM
  ibrav = 0, nat = 18, ntyp = 3
/
ATOMIC_SPECIES
Dy 162.50 Dy.upf
Os 190.23 Os.upf
Pb 207.20 Pb.upf
CELL_PARAMETERS angstrom
-4.7426 4.8384 5.2100
4.7426 -4.8384 5.2100
4.7426 4.8384 -5.2100
ATOMIC_POSITIONS crystal
Dy 0.0273 0.2411 0.7863
Dy 0.1849 0.2825 0.4674
Dy 0.1849 0.7175 0.9024
Dy 0.3313 0.0185 0.6872
Dy 0.3313 0.6441 0.3128
Dy 0.4548 0.2411 0.2137
Dy 0.5452 0.7589 0.7863
Dy 0.6687 0.3559 0.6872
Dy 0.6687 0.9815 0.3128
Dy 0.8151 0.2825 0.0976
Dy 0.8151 0.7175 0.5326
Dy 0.9727 0.7589 0.2137
Os 0.1205 0.6205 0.5000
Os 0.3349 0.0000 0.3349
Os 0.6651 0.0000 0.6651
Os 0.8795 0.3795 0.5000
Pb 0.0000 0.0000 0.0000
Pb 0.5000 0.5000 0.0000
! total magnetization: 0.0 μB/cell
! ΔH_f (0 K): -0.325 eV per atom
! crystal system: orthorhombic



(5)
! NbZnTc2 | Alexandria | PBE-GGA | optimized geometry; values from VASP
&SYSTEM
  ibrav = 0, nat = 8, ntyp = 3
/
ATOMIC_SPECIES
Nb 92.91 Nb.upf
Zn 65.41 Zn.upf
Tc 98.00 Tc.upf
CELL_PARAMETERS angstrom
-3.5165 3.5165 2.6939
3.5165 -3.5165 2.6939
3.5165 3.5165 -2.6939
ATOMIC_POSITIONS crystal
Nb 0.0000 0.0000 0.0000
Nb 0.7500 0.2500 0.5000
Zn 0.2500 0.7500 0.5000
Zn 0.5000 0.5000 0.0000
Tc 0.1210 0.6250 0.9960
Tc 0.3750 0.3710 0.4960
Tc 0.6290 0.1250 0.0040
Tc 0.8750 0.8790 0.5040
! total magnetization: 0.0 μB/cell
! ΔH_f (0 K): 0.633 eV per atom
! crystal system: tetragonal



(6)
! Fe2MoIr | Alexandria | PBE-GGA | optimized geometry; values from VASP
&SYSTEM
  ibrav = 0, nat = 4, ntyp = 3
/
ATOMIC_SPECIES
Fe 55.84 Fe.upf
Mo 95.94 Mo.upf
Ir 192.22 Ir.upf
CELL_PARAMETERS angstrom
2.6620 -3.5951 0.0000
2.6620 3.5951 0.0000
0.0000 0.0000 2.6714
ATOMIC_POSITIONS crystal
Fe 0.0000 0.5000 0.0000
Fe 0.5000 0.0000 0.0000
Mo 0.0000 0.0000 0.5000
Ir 0.5000 0.5000 0.5000
! total magnetization: 0.0 μB/cell
! ΔH_f (0 K): 0.056 eV per atom
! crystal system: orthorhombic



(7)
! Sc4CoNi3 | Alexandria | PBE-GGA | optimized geometry; values from VASP
&SYSTEM
  ibrav = 0, nat = 8, ntyp = 3
/
ATOMIC_SPECIES
Sc 44.96 Sc.upf
Co 58.93 Co.upf
Ni 58.69 Ni.upf
CELL_PARAMETERS angstrom
3.1502 0.0000 0.0000
0.0000 3.1502 0.0000
0.0000 0.0000 12.7003
ATOMIC_POSITIONS crystal
Sc 0.0000 0.0000 0.1212
Sc 0.0000 0.0000 0.3741
Sc 0.0000 0.0000 0.6259
Sc 0.0000 0.0000 0.8788
Co 0.5000 0.5000 0.0000
Ni 0.5000 0.5000 0.2484
Ni 0.5000 0.5000 0.5000
Ni 0.5000 0.5000 0.7516
! total magnetization: 0.3 μB/cell
! ΔH_f (0 K): -0.471 eV per atom
! crystal system: tetragonal



(8)
! Na2VTe5 | Alexandria | PBE-GGA | optimized geometry; values from VASP
&SYSTEM
  ibrav = 0, nat = 8, ntyp = 3
/
ATOMIC_SPECIES
Na 22.99 Na.upf
V 50.94 V.upf
Te 127.60 Te.upf
CELL_PARAMETERS angstrom
7.8653 -3.2959 0.0000
7.8653 3.2959 0.0000
-2.7240 0.0000 6.0248
ATOMIC_POSITIONS crystal
Na 0.0000 0.0000 0.0000
Na 0.5001 0.5001 0.4980
V 0.9000 0.9000 0.4022
Te 0.0769 0.0769 0.5723
Te 0.0788 0.5694 0.0722
Te 0.0813 0.5699 0.5840
Te 0.5694 0.0788 0.0722
Te 0.5699 0.0813 0.5840
! total magnetization: 0.0 μB/cell
! formation energy (no corrections): -0.312 eV/atom
! crystal system: monoclinic



(9)
! SnN | Alexandria | PBE-GGA | optimized geometry; values from VASP
&SYSTEM
  ibrav = 0, nat = 4, ntyp = 2
/
ATOMIC_SPECIES
Sn 118.71 Sn.upf
N 14.01 N.upf
CELL_PARAMETERS angstrom
3.1911 0.0000 0.0000
-0.5730 3.2808 0.0000
-1.2555 -1.1353 11.1775
ATOMIC_POSITIONS crystal
Sn 0.2003 0.2131 0.3921
Sn 0.7997 0.7869 0.6079
N 0.4660 0.4467 0.9514
N 0.5340 0.5533 0.0486
! total magnetization: 0.0 μB/cell
! formation energy (no corrections): 0.115 eV/atom
! crystal system: triclinic



(10)
! Cd2In2Sn2Hg | Alexandria | PBE-GGA | optimized geometry; values from VASP
&SYSTEM
  ibrav = 0, nat = 7, ntyp = 4
/
ATOMIC_SPECIES
Cd 112.41 Cd.upf
In 114.82 In.upf
Sn 118.71 Sn.upf
Hg 200.59 Hg.upf
CELL_PARAMETERS angstrom
4.4418 0.0000 0.0000
2.1464 5.6910 0.0000
0.1281 0.3421 7.1986
ATOMIC_POSITIONS crystal
Cd 0.2174 0.0694 0.1352
Cd 0.7826 0.9306 0.8648
In 0.0679 0.3619 0.7250
In 0.9321 0.6381 0.2750
Sn 0.3485 0.7966 0.5673
Sn 0.6515 0.2034 0.4327
Hg 0.5000 0.5000 0.0000
! total magnetization: 0.0 μB/cell
! ΔH_f (0 K): 0.044 eV per atom
! crystal system: triclinic



(11)
! NaGa2Au4 | Alexandria | PBE-GGA | optimized geometry; values from VASP
&SYSTEM
  ibrav = 0, nat = 14, ntyp = 3
/
ATOMIC_SPECIES
Na 22.99 Na.upf
Ga 69.72 Ga.upf
Au 196.97 Au.upf
CELL_PARAMETERS angstrom
8.1037 0.0000 0.0000
0.0000 8.1037 0.0000
0.0000 0.0000 4.1931
ATOMIC_POSITIONS crystal
Na 0.0000 0.0000 0.0000
Na 0.5000 0.5000 0.5000
Ga 0.2229 0.2229 0.5000
Ga 0.2771 0.7229 0.0000
Ga 0.7229 0.2771 0.0000
Ga 0.7771 0.7771 0.5000
Au 0.0808 0.6699 0.5000
Au 0.1699 0.4192 0.0000
Au 0.3301 0.9192 0.5000
Au 0.4192 0.1699 0.0000
Au 0.5808 0.8301 0.0000
Au 0.6699 0.0808 0.5000
Au 0.8301 0.5808 0.0000
Au 0.9192 0.3301 0.5000
! energy relative to the lowest polymorph listed for this composition: 1.6 kJ per mole of atoms
! total magnetization: 0.0 μB/cell
! ΔH_f (0 K): -0.268 eV per atom
! crystal system: tetragonal



(12)
! LaMo2Ir | Alexandria | PBE-GGA | optimized geometry; values from VASP
&SYSTEM
  ibrav = 0, nat = 4, ntyp = 3
/
ATOMIC_SPECIES
La 138.91 La.upf
Mo 95.94 Mo.upf
Ir 192.22 Ir.upf
CELL_PARAMETERS angstrom
4.7564 -1.5707 0.0000
4.7564 1.5707 0.0000
-1.7870 0.0000 5.5044
ATOMIC_POSITIONS crystal
La 0.0000 0.0000 0.0000
Mo 0.5025 0.5025 0.5060
Mo 0.7876 0.7876 0.3405
Ir 0.2356 0.2356 0.6771
! energy relative to the lowest polymorph listed for this composition: 13.4 kJ per mole of atoms
! total magnetization: 0.0 μB/cell
! ΔH_f (0 K): 0.283 eV per atom
! crystal system: monoclinic



(13)
! Si2Rh2Au | Alexandria | PBE-GGA | optimized geometry; values from VASP
&SYSTEM
  ibrav = 0, nat = 10, ntyp = 3
/
ATOMIC_SPECIES
Si 28.09 Si.upf
Rh 102.91 Rh.upf
Au 196.97 Au.upf
CELL_PARAMETERS angstrom
7.1019 0.0000 0.0000
0.0000 7.1019 0.0000
0.0000 0.0000 2.8188
ATOMIC_POSITIONS crystal
Si 0.1476 0.3524 0.0000
Si 0.3524 0.8524 0.0000
Si 0.6476 0.1476 0.0000
Si 0.8524 0.6476 0.0000
Rh 0.1443 0.6443 0.5000
Rh 0.3557 0.1443 0.5000
Rh 0.6443 0.8557 0.5000
Rh 0.8557 0.3557 0.5000
Au 0.0000 0.0000 0.0000
Au 0.5000 0.5000 0.0000
! energy relative to the lowest polymorph listed for this composition: 0.0 kJ per mole of atoms
! total magnetization: 0.0 μB/cell
! formation energy (no corrections): -0.540 eV/atom
! crystal system: tetragonal



(14)
! SmTmPt | Alexandria | PBE-GGA | optimized geometry; values from VASP
&SYSTEM
  ibrav = 0, nat = 24, ntyp = 3
/
ATOMIC_SPECIES
Sm 150.36 Sm.upf
Tm 168.93 Tm.upf
Pt 195.08 Pt.upf
CELL_PARAMETERS angstrom
6.8252 0.0000 0.0000
0.0000 13.3555 0.0000
0.0000 0.0000 7.1306
ATOMIC_POSITIONS crystal
Sm 0.1954 0.1982 0.1053
Sm 0.1954 0.3018 0.6053
Sm 0.3046 0.6982 0.1053
Sm 0.3046 0.8018 0.6053
Sm 0.6954 0.1982 0.3947
Sm 0.6954 0.3018 0.8947
Sm 0.8046 0.6982 0.3947
Sm 0.8046 0.8018 0.8947
Tm 0.0030 0.5308 0.7617
Tm 0.0030 0.9692 0.2617
Tm 0.4970 0.0308 0.7617
Tm 0.4970 0.4692 0.2617
Tm 0.5030 0.5308 0.7383
Tm 0.5030 0.9692 0.2383
Tm 0.9970 0.0308 0.7383
Tm 0.9970 0.4692 0.2383
Pt 0.2261 0.6019 0.4601
Pt 0.2261 0.8981 0.9601
Pt 0.2739 0.1019 0.4601
Pt 0.2739 0.3981 0.9601
Pt 0.7261 0.6019 0.0399
Pt 0.7261 0.8981 0.5399
Pt 0.7739 0.1019 0.0399
Pt 0.7739 0.3981 0.5399
! energy relative to the lowest polymorph listed for this composition: 2.8 kJ per mole of atoms
! total magnetization: 0.0 μB/cell
! ΔH_f (0 K): -0.919 eV per atom
! crystal system: orthorhombic



(15)
! Ac6Ir3Pb2 | Alexandria | PBE-GGA | optimized geometry; values from VASP
&SYSTEM
  ibrav = 0, nat = 11, ntyp = 3
/
ATOMIC_SPECIES
Ac 227.00 Ac.upf
Ir 192.22 Ir.upf
Pb 207.20 Pb.upf
CELL_PARAMETERS angstrom
3.8086 -6.4262 0.0000
3.8086 6.4262 0.0000
-2.3898 0.0000 8.5263
ATOMIC_POSITIONS crystal
Ac 0.1009 0.4411 0.8024
Ac 0.2291 0.2291 0.1805
Ac 0.4411 0.1009 0.8024
Ac 0.5589 0.8991 0.1976
Ac 0.7709 0.7709 0.8195
Ac 0.8991 0.5589 0.1976
Ir 0.1711 0.8289 0.0000
Ir 0.5000 0.5000 0.0000
Ir 0.8289 0.1711 0.0000
Pb 0.3674 0.6326 0.5000
Pb 0.6326 0.3674 0.5000
! total magnetization: 0.0 μB/cell
! ΔH_f (0 K): -0.545 eV per atom
! crystal system: monoclinic



(16)
! BaLi2MgSi | Alexandria | PBE-GGA | optimized geometry; values from VASP
&SYSTEM
  ibrav = 0, nat = 5, ntyp = 4
/
ATOMIC_SPECIES
Ba 137.33 Ba.upf
Li 6.94 Li.upf
Mg 24.30 Mg.upf
Si 28.09 Si.upf
CELL_PARAMETERS angstrom
5.0916 0.0000 0.0000
0.0000 5.0916 0.0000
0.0000 0.0000 5.2327
ATOMIC_POSITIONS crystal
Ba 0.0000 0.0000 0.0000
Li 0.0000 0.5000 0.5000
Li 0.5000 0.0000 0.5000
Mg 0.5000 0.5000 0.0000
Si 0.5000 0.5000 0.5000
! total magnetization: 0.5 μB/cell
! formation energy (no corrections): -0.037 eV/atom
! crystal system: tetragonal



(17)
! Ti2CuRh9 | Alexandria | PBE-GGA | optimized geometry; values from VASP
&SYSTEM
  ibrav = 0, nat = 12, ntyp = 3
/
ATOMIC_SPECIES
Ti 47.87 Ti.upf
Cu 63.55 Cu.upf
Rh 102.91 Rh.upf
CELL_PARAMETERS angstrom
3.8433 0.0000 0.0000
0.0000 3.8433 0.0000
0.0000 0.0000 11.5436
ATOMIC_POSITIONS crystal
Ti 0.0000 0.0000 0.1691
Ti 0.0000 0.0000 0.8309
Cu 0.0000 0.0000 0.5000
Rh 0.0000 0.5000 0.0000
Rh 0.0000 0.5000 0.3342
Rh 0.0000 0.5000 0.6658
Rh 0.5000 0.0000 0.0000
Rh 0.5000 0.0000 0.3342
Rh 0.5000 0.0000 0.6658
Rh 0.5000 0.5000 0.1668
Rh 0.5000 0.5000 0.5000
Rh 0.5000 0.5000 0.8332
! total magnetization: 0.0 μB/cell
! ΔH_f (0 K): -0.401 eV per atom
! crystal system: tetragonal



(18)
! KCu3Re | Alexandria | PBE-GGA | optimized geometry; values from VASP
&SYSTEM
  ibrav = 0, nat = 5, ntyp = 3
/
ATOMIC_SPECIES
K 39.10 K.upf
Cu 63.55 Cu.upf
Re 186.21 Re.upf
CELL_PARAMETERS angstrom
4.8336 0.0000 0.0000
0.0000 4.8336 0.0000
0.0000 0.0000 4.8336
ATOMIC_POSITIONS crystal
K 0.0000 0.0000 0.0000
Cu 0.0000 0.5000 0.5000
Cu 0.5000 0.0000 0.5000
Cu 0.5000 0.5000 0.0000
Re 0.5000 0.5000 0.5000
! energy relative to the lowest polymorph listed for this composition: 0.0 kJ per mole of atoms
! total magnetization: 1.1 μB/cell
! ΔH_f (0 K): 1.096 eV per atom
! crystal system: cubic



(19)
! K2MgN | Alexandria | PBE-GGA | optimized geometry; values from VASP
&SYSTEM
  ibrav = 0, nat = 8, ntyp = 3
/
ATOMIC_SPECIES
K 39.10 K.upf
Mg 24.30 Mg.upf
N 14.01 N.upf
CELL_PARAMETERS angstrom
-5.9879 5.9879 1.9726
5.9879 -5.9879 1.9726
5.9879 5.9879 -1.9726
ATOMIC_POSITIONS crystal
K 0.3750 0.1712 0.2962
K 0.8288 0.1250 0.2038
K 0.8750 0.0788 0.7038
K 0.9212 0.6250 0.7962
Mg 0.2500 0.7500 0.5000
Mg 0.5000 0.5000 0.0000
N 0.0000 0.0000 0.0000
N 0.7500 0.2500 0.5000
! energy relative to the lowest polymorph listed for this composition: 0.0 kJ per mole of atoms
! total magnetization: 0.1 μB/cell
! formation energy (no corrections): 0.084 eV/atom
! crystal system: tetragonal



(20)
! RbScPt2 | Alexandria | PBE-GGA | optimized geometry; values from VASP
&SYSTEM
  ibrav = 0, nat = 8, ntyp = 3
/
ATOMIC_SPECIES
Rb 85.47 Rb.upf
Sc 44.96 Sc.upf
Pt 195.08 Pt.upf
CELL_PARAMETERS angstrom
-3.8940 3.8940 3.7735
3.8940 -3.8940 3.7735
3.8940 3.8940 -3.7735
ATOMIC_POSITIONS crystal
Rb 0.0000 0.0000 0.0000
Rb 0.7500 0.2500 0.5000
Sc 0.2500 0.7500 0.5000
Sc 0.5000 0.5000 0.0000
Pt 0.2013 0.1250 0.5763
Pt 0.3750 0.7987 0.9237
Pt 0.5487 0.6250 0.4237
Pt 0.8750 0.4513 0.0763
! energy relative to the lowest polymorph listed for this composition: 0.0 kJ per mole of atoms
! total magnetization: 0.0 μB/cell
! ΔH_f (0 K): -0.174 eV per atom
! crystal system: tetragonal



(21)
! Pm3InNi8 | Alexandria | PBE-GGA | optimized geometry; values from VASP
&SYSTEM
  ibrav = 0, nat = 12, ntyp = 3
/
ATOMIC_SPECIES
Pm 145.00 Pm.upf
In 114.82 In.upf
Ni 58.69 Ni.upf
CELL_PARAMETERS angstrom
2.5446 1.4691 8.3585
-2.5446 1.4691 8.3585
0.0000 -2.9383 8.3585
ATOMIC_POSITIONS crystal
Pm 0.0000 0.0000 0.0000
Pm 0.1272 0.1272 0.1272
Pm 0.6189 0.6189 0.6189
In 0.4962 0.4962 0.4962
Ni 0.0595 0.0595 0.5621
Ni 0.0595 0.5621 0.0595
Ni 0.0639 0.5610 0.5610
Ni 0.3115 0.3115 0.3115
Ni 0.5610 0.0639 0.5610
Ni 0.5610 0.5610 0.0639
Ni 0.5621 0.0595 0.0595
Ni 0.8115 0.8115 0.8115
! total magnetization: 0.0 μB/cell
! ΔH_f (0 K): -0.338 eV per atom
! crystal system: trigonal



(22)
! Y2Cu4S5 | Alexandria | PBE-GGA | optimized geometry; values from VASP
&SYSTEM
  ibrav = 0, nat = 11, ntyp = 3
/
ATOMIC_SPECIES
Y 88.91 Y.upf
Cu 63.55 Cu.upf
S 32.06 S.upf
CELL_PARAMETERS angstrom
1.9149 1.1056 15.9713
-1.9149 1.1056 15.9713
0.0000 -2.2112 15.9713
ATOMIC_POSITIONS crystal
Y 0.1321 0.1321 0.1321
Y 0.8679 0.8679 0.8679
Cu 0.3114 0.3114 0.3114
Cu 0.4135 0.4135 0.4135
Cu 0.5865 0.5865 0.5865
Cu 0.6886 0.6886 0.6886
S 0.2356 0.2356 0.2356
S 0.3660 0.3660 0.3660
S 0.5000 0.5000 0.5000
S 0.6340 0.6340 0.6340
S 0.7644 0.7644 0.7644
! total magnetization: 0.0 μB/cell
! formation energy (no corrections): -0.910 eV/atom
! crystal system: trigonal